Entry 1:
# In2ReOs (PBE, optimized geometry)
# Formation energy: 0.821 eV per atom
# Density of states at the Fermi level: 25.84 states/eV/cell
data_In2ReOs
_chemical_formula_sum 'In8 Re4 Os4'
_symmetry_space_group_name_H-M 'F -4 3 m'
_symmetry_Int_Tables_number 216
_symmetry_space_group_name_Hall 'F -4 2 3'
_cell_length_a 6.554
_cell_length_b 6.554
_cell_length_c 6.554
_cell_angle_alpha 90.00
_cell_angle_beta 90.00
_cell_angle_gamma 90.00
loop_
_atom_site_label
_atom_site_type_symbol
_atom_site_fract_x
_atom_site_fract_y
_atom_site_fract_z
In1 In 0.000 0.000 0.000
In2 In 0.250 0.250 0.250
Re1 Re 0.250 0.250 0.750
Os1 Os 0.000 0.000 0.500

Entry 2:
# In2Re2Os (PBE, optimized geometry)
# Formation energy: 1.002 eV per atom
# Density of states at the Fermi level: 7.22 states/eV/cell
data_In2Re2Os
_chemical_formula_sum 'In4 Re4 Os2'
_symmetry_space_group_name_H-M 'I 4/m m m'
_symmetry_Int_Tables_number 139
_symmetry_space_group_name_Hall '-I 4 2'
_cell_length_a 3.475
_cell_length_b 3.475
_cell_length_c 16.101
_cell_angle_alpha 90.00
_cell_angle_beta 90.00
_cell_angle_gamma 90.00
loop_
_atom_site_label
_atom_site_type_symbol
_atom_site_fract_x
_atom_site_fract_y
_atom_site_fract_z
In1 In 0.000 0.000 0.096
Re1 Re 0.000 0.500 0.250
Os1 Os 0.000 0.000 0.500

Entry 3:
# InReOs2 (PBE, optimized geometry)
# Formation energy: 0.252 eV per atom
# Density of states at the Fermi level: 3.65 states/eV/cell
data_InReOs2
_chemical_formula_sum 'In1 Re1 Os2'
_symmetry_space_group_name_H-M 'P 4/m m m'
_symmetry_Int_Tables_number 123
_symmetry_space_group_name_Hall '-P 4 2'
_cell_length_a 2.875
_cell_length_b 2.875
_cell_length_c 7.701
_cell_angle_alpha 90.00
_cell_angle_beta 90.00
_cell_angle_gamma 90.00
loop_
_atom_site_label
_atom_site_type_symbol
_atom_site_fract_x
_atom_site_fract_y
_atom_site_fract_z
In1 In 0.000 0.000 0.000
Re1 Re 0.000 0.000 0.500
Os1 Os 0.500 0.500 0.272

Entry 4:
# In2ReOs (PBE, optimized geometry)
# Formation energy: 0.194 eV per atom
# Density of states at the Fermi level: 5.70 states/eV/cell
data_In2ReOs
_chemical_formula_sum 'In4 Re2 Os2'
_symmetry_space_group_name_H-M 'A m m 2'
_symmetry_Int_Tables_number 38
_cell_length_a 2.954
_cell_length_b 2.961
_cell_length_c 17.107
_cell_angle_alpha 90.00
_cell_angle_beta 90.00
_cell_angle_gamma 90.00
loop_
_symmetry_equiv_pos_as_xyz
'x,y,z'
'-x,-y,z'
'-x,y,z'
'x,-y,z'
'x,y+1/2,z+1/2'
'-x,-y+1/2,z+1/2'
'-x,y+1/2,z+1/2'
'x,-y+1/2,z+1/2'
loop_
_atom_site_label
_atom_site_type_symbol
_atom_site_fract_x
_atom_site_fract_y
_atom_site_fract_z
In1 In 0.000 0.000 0.000
In2 In 0.500 0.000 0.165
Re1 Re 0.000 0.000 0.788
Os1 Os 0.500 0.000 0.379

Entry 5:
# InReOs2 (PBE, optimized geometry)
# Formation energy: 0.737 eV per atom
# Density of states at the Fermi level: 6.33 states/eV/cell
data_InReOs2
_chemical_formula_sum 'In1 Re1 Os2'
_symmetry_space_group_name_H-M 'P 4/m m m'
_symmetry_Int_Tables_number 123
_symmetry_space_group_name_Hall '-P 4 2'
_cell_length_a 4.091
_cell_length_b 4.091
_cell_length_c 3.803
_cell_angle_alpha 90.00
_cell_angle_beta 90.00
_cell_angle_gamma 90.00
loop_
_atom_site_label
_atom_site_type_symbol
_atom_site_fract_x
_atom_site_fract_y
_atom_site_fract_z
In1 In 0.000 0.000 0.000
Re1 Re 0.500 0.500 0.000
Os1 Os 0.000 0.500 0.500

Entry 6:
# InReOs4 (PBE, optimized geometry)
# Formation energy: 0.803 eV per atom
# Density of states at the Fermi level: 31.36 states/eV/cell
data_InReOs4
_chemical_formula_sum 'In4 Re4 Os16'
_symmetry_space_group_name_H-M 'F -4 3 m'
_symmetry_Int_Tables_number 216
_symmetry_space_group_name_Hall 'F -4 2 3'
_cell_length_a 7.305
_cell_length_b 7.305
_cell_length_c 7.305
_cell_angle_alpha 90.00
_cell_angle_beta 90.00
_cell_angle_gamma 90.00
loop_
_atom_site_label
_atom_site_type_symbol
_atom_site_fract_x
_atom_site_fract_y
_atom_site_fract_z
In1 In 0.000 0.000 0.000
Re1 Re 0.250 0.250 0.250
Os1 Os 0.125 0.125 0.625

Entry 7:
# In2Re2Os (PBE, optimized geometry)
# Formation energy: 1.313 eV per atom
# Density of states at the Fermi level: 9.76 states/eV/cell
data_In2Re2Os
_chemical_formula_sum 'In4 Re4 Os2'
_symmetry_space_group_name_H-M 'I 4/m m m'
_symmetry_Int_Tables_number 139
_symmetry_space_group_name_Hall '-I 4 2'
_cell_length_a 3.690
_cell_length_b 3.690
_cell_length_c 13.858
_cell_angle_alpha 90.00
_cell_angle_beta 90.00
_cell_angle_gamma 90.00
loop_
_atom_site_label
_atom_site_type_symbol
_atom_site_fract_x
_atom_site_fract_y
_atom_site_fract_z
In1 In 0.000 0.500 0.250
Re1 Re 0.000 0.000 0.086
Os1 Os 0.000 0.000 0.500

Entry 8:
# In2Re2Os (PBE, optimized geometry)
# Formation energy: 1.286 eV per atom
# Density of states at the Fermi level: 13.17 states/eV/cell
data_In2Re2Os
_chemical_formula_sum 'In4 Re4 Os2'
_symmetry_space_group_name_H-M 'P 4/m b m'
_symmetry_Int_Tables_number 127
_symmetry_space_group_name_Hall '-P 4 2ab'
_cell_length_a 7.766
_cell_length_b 7.766
_cell_length_c 2.922
_cell_angle_alpha 90.00
_cell_angle_beta 90.00
_cell_angle_gamma 90.00
loop_
_atom_site_label
_atom_site_type_symbol
_atom_site_fract_x
_atom_site_fract_y
_atom_site_fract_z
In1 In 0.129 0.371 0.000
Re1 Re 0.173 0.673 0.500
Os1 Os 0.000 0.000 0.000

Entry 9:
# In2ReOs (PBE, optimized geometry)
# Formation energy: 0.759 eV per atom
# Density of states at the Fermi level: 7.80 states/eV/cell
data_In2ReOs
_chemical_formula_sum 'In4 Re2 Os2'
_symmetry_space_group_name_H-M 'C m m m'
_symmetry_Int_Tables_number 65
_symmetry_space_group_name_Hall '-C 2 2'
_cell_length_a 3.076
_cell_length_b 4.971
_cell_length_c 9.249
_cell_angle_alpha 90.00
_cell_angle_beta 90.00
_cell_angle_gamma 90.00
loop_
_atom_site_label
_atom_site_type_symbol
_atom_site_fract_x
_atom_site_fract_y
_atom_site_fract_z
In1 In 0.000 0.000 0.246
Re1 Re 0.000 0.500 0.500
Os1 Os 0.000 0.500 0.000

Entry 10:
# InReOs2 (PBE, optimized geometry)
# Formation energy: 0.592 eV per atom
# Density of states at the Fermi level: 10.28 states/eV/cell
data_InReOs2
_chemical_formula_sum 'In2 Re2 Os4'
_symmetry_space_group_name_H-M 'I -4 m 2'
_symmetry_Int_Tables_number 119
_symmetry_space_group_name_Hall 'I -4 -2'
_cell_length_a 3.893
_cell_length_b 3.893
_cell_length_c 8.320
_cell_angle_alpha 90.00
_cell_angle_beta 90.00
_cell_angle_gamma 90.00
loop_
_atom_site_label
_atom_site_type_symbol
_atom_site_fract_x
_atom_site_fract_y
_atom_site_fract_z
In1 In 0.000 0.000 0.000
Re1 Re 0.000 0.500 0.250
Os1 Os 0.000 0.000 0.500
Os2 Os 0.000 0.500 0.750

Entry 11:
# In2ReOs (PBE, optimized geometry)
# Formation energy: 0.491 eV per atom
# Density of states at the Fermi level: 7.65 states/eV/cell
data_In2ReOs
_chemical_formula_sum 'In4 Re2 Os2'
_symmetry_space_group_name_H-M 'C 1 m 1'
_symmetry_Int_Tables_number 8
_cell_length_a 10.530
_cell_length_b 2.936
_cell_length_c 4.999
_cell_angle_alpha 90.00
_cell_angle_beta 111.89
_cell_angle_gamma 90.00
loop_
_symmetry_equiv_pos_as_xyz
'x,y,z'
'x,-y,z'
'x+1/2,y+1/2,z'
'x+1/2,-y+1/2,z'
loop_
_atom_site_label
_atom_site_type_symbol
_atom_site_fract_x
_atom_site_fract_y
_atom_site_fract_z
In1 In 0.000 0.000 0.000
In2 In 0.208 0.000 0.609
Re1 Re 0.451 0.000 0.480
Os1 Os 0.255 0.500 0.124

Entry 12:
# In2ReOs2 (PBE, optimized geometry)
# Formation energy: 0.601 eV per atom
# Density of states at the Fermi level: 8.52 states/eV/cell
data_In2ReOs2
_chemical_formula_sum 'In4 Re2 Os4'
_symmetry_space_group_name_H-M 'P 4/m b m'
_symmetry_Int_Tables_number 127
_symmetry_space_group_name_Hall '-P 4 2ab'
_cell_length_a 6.543
_cell_length_b 6.543
_cell_length_c 4.333
_cell_angle_alpha 90.00
_cell_angle_beta 90.00
_cell_angle_gamma 90.00
loop_
_atom_site_label
_atom_site_type_symbol
_atom_site_fract_x
_atom_site_fract_y
_atom_site_fract_z
In1 In 0.177 0.323 0.000
Re1 Re 0.000 0.000 0.500
Os1 Os 0.132 0.632 0.500